Record 1
The following is a PBE calculation of a geometry-optimized TlCuAu2 structure, from Alexandria via LeMat-Bulk.

POSCAR file:
```
TlCuAu2
1.0
6.687 0.000 0.000
0.000 6.687 0.000
0.000 0.000 6.687
Tl Cu Au
4 4 8
Cartesian
0.000 0.000 0.000
0.000 3.344 3.344
3.344 0.000 3.344
3.344 3.344 0.000
0.000 0.000 3.344
0.000 3.344 0.000
3.344 0.000 0.000
3.344 3.344 3.344
1.672 1.672 1.672
1.672 1.672 5.015
1.672 5.015 1.672
1.672 5.015 5.015
5.015 1.672 1.672
5.015 1.672 5.015
5.015 5.015 1.672
5.015 5.015 5.015
```

Electronic total energy (eV/cell): -49.36
V (A^3/atom): 18.689
SG: No. 225
Energy of formation (kJ/mol of atoms): 16.3

---

Record 2
The following is a PBE calculation of a geometry-optimized TlCuAu2 structure, from Alexandria via LeMat-Bulk.

POSCAR file:
```
TlCuAu2
1.0
6.683 0.000 0.000
0.000 6.683 0.000
0.000 0.000 6.683
Tl Cu Au
4 4 8
Cartesian
0.000 0.000 0.000
0.000 3.341 3.341
3.341 0.000 3.341
3.341 3.341 0.000
1.671 1.671 1.671
1.671 5.012 5.012
5.012 1.671 5.012
5.012 5.012 1.671
0.000 0.000 3.341
0.000 3.341 0.000
1.671 1.671 5.012
1.671 5.012 1.671
3.341 0.000 0.000
3.341 3.341 3.341
5.012 1.671 1.671
5.012 5.012 5.012
```

Electronic total energy (eV/cell): -49.45
V (A^3/atom): 18.654
SG: No. 216
Energy of formation (kJ/mol of atoms): 15.8